(1)
Material: Tb3YHo12
Method: DFT, PBE
State: relaxed

a b c (Å): 4.9994 4.9994 19.9841
angles (deg): 90.00 90.00 90.00
Last column: nearest neighbours and their distance in Å.
Fractional positions:
Tb (0.0000, 0.0000, 0.0000)  12 Ho 3.53-3.54
Tb (0.0000, 0.0000, 0.2499)  12 Ho 3.53-3.54
Tb (0.0000, 0.0000, 0.7501)  12 Ho 3.53-3.54
Y (0.0000, 0.0000, 0.5000)  12 Ho 3.54
Ho (0.0000, 0.5000, 0.1250)  4 Tb 3.53, 8 Ho 3.53-3.54
Ho (0.0000, 0.5000, 0.3747)  8 Ho 3.53-3.54, 2 Tb 3.53, 2 Y 3.54
Ho (0.0000, 0.5000, 0.6253)  8 Ho 3.53-3.54, 2 Tb 3.53, 2 Y 3.54
Ho (0.0000, 0.5000, 0.8750)  4 Tb 3.53, 8 Ho 3.53-3.54
Ho (0.5000, 0.0000, 0.1250)  4 Tb 3.53, 8 Ho 3.53-3.54
Ho (0.5000, 0.0000, 0.3747)  8 Ho 3.53-3.54, 2 Tb 3.53, 2 Y 3.54
Ho (0.5000, 0.0000, 0.6253)  8 Ho 3.53-3.54, 2 Tb 3.53, 2 Y 3.54
Ho (0.5000, 0.0000, 0.8750)  4 Tb 3.53, 8 Ho 3.53-3.54
Ho (0.5000, 0.5000, 0.0000)  8 Ho 3.53, 4 Tb 3.54
Ho (0.5000, 0.5000, 0.2500)  8 Ho 3.53, 4 Tb 3.54
Ho (0.5000, 0.5000, 0.5000)  4 Y 3.54, 8 Ho 3.54
Ho (0.5000, 0.5000, 0.7500)  8 Ho 3.53, 4 Tb 3.54

Output
Space-group type: P4/mmm (123)
Density of states at the Fermi level (states/eV/cell): 20.72
DFT formation energy (eV/atom): 0.020

---

(2)
Material: TaIn2As
Method: DFT, PBE
State: relaxed

a b c (Å): 3.2772 4.6613 5.7446
angles (deg): 90.00 106.49 90.00
Last column: nearest neighbours and their distance in Å.
Fractional positions:
Ta (0.0000, 0.0000, 0.0000)  2 As 2.69, 1 In 2.94
In (0.3928, 0.5000, 0.7852)  3 As 2.98-3.01, 4 Ta 3.08-3.09, 2 In 3.28
In (0.7322, 0.0000, 0.4661)  3 Ta 2.94-3.05, 4 As 3.10, 2 In 3.28
As (0.1219, 0.5000, 0.2435)  2 Ta 2.69, 3 In 2.98-3.01

Output
Space-group type: Pm (6)
Density of states at the Fermi level (states/eV/cell): 1.48
DFT formation energy (eV/atom): 0.147

---

(3)
Material: Ba2LiAl2
Method: DFT, PBE
State: relaxed

a b c (Å): 9.3148 9.3148 4.2818
angles (deg): 90.00 90.00 90.00
Last column: nearest neighbours and their distance in Å.
Fractional positions:
Ba (0.1873, 0.3127, 0.0000)  6 Al 3.50-3.53
Ba (0.3127, 0.8127, 0.0000)  6 Al 3.50-3.53
Ba (0.6873, 0.1873, 0.0000)  6 Al 3.50-3.53
Ba (0.8127, 0.6873, 0.0000)  6 Al 3.50-3.53
Li (0.0000, 0.0000, 0.5000)  4 Al 3.82, 8 Ba 4.01, 2 Li 4.28
Li (0.5000, 0.5000, 0.5000)  4 Al 3.82, 8 Ba 4.01, 2 Li 4.28
Al (0.1023, 0.6023, 0.5000)  1 Al 2.70
Al (0.3977, 0.1023, 0.5000)  1 Al 2.70
Al (0.6023, 0.8977, 0.5000)  1 Al 2.70
Al (0.8977, 0.3977, 0.5000)  1 Al 2.70

Output
Space-group type: P4/mbm (127)
Density of states at the Fermi level (states/eV/cell): 8.45
DFT formation energy (eV/atom): 0.036
E above lowest polymorph (meV/atom): 107.7

---

(4)
Material: SrSc3Te
Method: DFT, PBE
State: relaxed

a b c (Å): 5.5023 5.5023 5.5023
angles (deg): 90.00 90.00 90.00
Last column: nearest neighbours and their distance in Å.
Fractional positions:
Sr (0.0000, 0.0000, 0.0000)  12 Sc 3.89
Sc (0.0000, 0.5000, 0.5000)  2 Te 2.75
Sc (0.5000, 0.0000, 0.5000)  2 Te 2.75
Sc (0.5000, 0.5000, 0.0000)  2 Te 2.75
Te (0.5000, 0.5000, 0.5000)  6 Sc 2.75

Output
Energy relative to the elements, uncorrected (meV per atom): -4
Space-group type: Pm-3m (221)
Density of states at the Fermi level (states/eV/cell): 7.84
E above lowest polymorph (meV/atom): 0.0